BeTeI2F SCAN PBEsol geometry; volume = 24.6 A^3/atom; space group = P4/mmm; formation energy without anion corrections = 12.89 kJ/mol of atoms
1.0
5.046 0.000 0.000
0.000 5.046 0.000
0.000 0.000 4.829
Be Te I F
1 1 2 1
direct
0.000 0.000 0.000
0.000 0.000 0.500
0.000 0.500 0.000
0.500 0.000 0.000
0.500 0.500 0.500

TiBe2IF SCAN PBEsol geometry; volume = 14.6 A^3/atom; space group = P4/mmm; formation energy without anion corrections = 28.22 kJ/mol of atoms
1.0
3.935 0.000 0.000
0.000 3.935 0.000
0.000 0.000 4.705
Ti Be I F
1 2 1 1
direct
0.000 0.000 0.000
0.000 0.500 0.500
0.500 0.000 0.500
0.500 0.500 0.000
0.000 0.000 0.500

BeInF3 SCAN PBEsol geometry; volume = 15.4 A^3/atom; space group = Pm-3m; formation energy without anion corrections = -131.95 kJ/mol of atoms
1.0
4.252 0.000 0.000
0.000 4.252 0.000
0.000 0.000 4.252
Be In F
1 1 3
direct
0.000 0.000 0.000
0.500 0.500 0.500
0.000 0.500 0.500
0.500 0.000 0.500
0.500 0.500 0.000

Which of these has the highest volume?
BeTeI2F